[1]
# Dy2YAl3Si2Pd, relaxed, DFT PBE-GGA
# DFT total energy   -5.57 eV/atom
# M_tot   0.00 μB/f.u.
data_Dy2YAl3Si2Pd
_chemical_formula_sum 'Dy4 Y2 Al6 Si4 Pd2'
_cell_length_a 4.2523
_cell_length_b 11.9376
_cell_length_c 6.8919
_cell_angle_alpha 90.00
_cell_angle_beta 90.00
_cell_angle_gamma 90.00
_space_group_name_H-M_alt 'A m m 2'
_space_group_IT_number 38
loop_
_space_group_symop_operation_xyz
'x,y,z'
'-x,-y,z'
'-x,y,z'
'x,-y,z'
'x,y+1/2,z+1/2'
'-x,-y+1/2,z+1/2'
'-x,y+1/2,z+1/2'
'x,-y+1/2,z+1/2'
loop_
_atom_site_label
_atom_site_fract_x
_atom_site_fract_y
_atom_site_fract_z
Dy1 0.0000 0.2089 0.0000
Y1 0.0000 0.0000 0.6273
Al1 0.5000 0.0000 0.9701
Al2 0.5000 0.1194 0.3283
Si1 0.5000 0.1669 0.7089
Pd1 0.0000 0.0000 0.2080

[2]
# ZrBr2Cl, relaxed, DFT PBE-GGA
# DFT total energy   -4.92 eV/atom
# M_tot   0.00 μB/f.u.
data_ZrBr2Cl
_chemical_formula_sum 'Zr4 Br8 Cl4'
_cell_length_a 6.2068
_cell_length_b 12.0114
_cell_length_c 7.0289
_cell_angle_alpha 90.00
_cell_angle_beta 90.00
_cell_angle_gamma 90.00
_space_group_name_H-M_alt 'A m m 2'
_space_group_IT_number 38
loop_
_space_group_symop_operation_xyz
'x,y,z'
'-x,-y,z'
'-x,y,z'
'x,-y,z'
'x,y+1/2,z+1/2'
'-x,-y+1/2,z+1/2'
'-x,y+1/2,z+1/2'
'x,-y+1/2,z+1/2'
loop_
_atom_site_label
_atom_site_fract_x
_atom_site_fract_y
_atom_site_fract_z
Zr1 0.2432 0.0000 0.0000
Br1 0.0000 0.0000 0.6816
Br2 0.5000 0.0000 0.3147
Br3 0.5000 0.1604 0.8488
Cl1 0.0000 0.1474 0.1510

[3]
# Ho2TmGe4Au4, relaxed, DFT PBE-GGA
# DFT total energy   -4.75 eV/atom
# M_tot   0.00 μB/f.u.
data_Ho2TmGe4Au4
_chemical_formula_sum 'Ho4 Tm2 Ge8 Au8'
_cell_length_a 4.3445
_cell_length_b 7.0419
_cell_length_c 14.5543
_cell_angle_alpha 90.00
_cell_angle_beta 90.00
_cell_angle_gamma 90.00
_space_group_name_H-M_alt 'I m m m'
_space_group_IT_number 71
_space_group_name_Hall '-I 2 2'
loop_
_atom_site_label
_atom_site_fract_x
_atom_site_fract_y
_atom_site_fract_z
Ho1 0.0000 0.0000 0.1260
Tm1 0.0000 0.5000 0.0000
Ge1 0.0000 0.3142 0.5000
Ge2 0.0000 0.5000 0.2157
Au1 0.0000 0.2026 0.3327

[4]
# AlCoPdW, relaxed, DFT PBE-GGA
# DFT total energy   -7.28 eV/atom
# M_tot   0.37 μB/f.u.
# Energy above the most stable polymorph in this dataset   0.000 eV/atom
data_AlCoPdW
_chemical_formula_sum 'Al4 Co4 Pd4 W4'
_cell_length_a 6.0979
_cell_length_b 6.0979
_cell_length_c 6.0979
_cell_angle_alpha 90.00
_cell_angle_beta 90.00
_cell_angle_gamma 90.00
_space_group_name_H-M_alt 'F -4 3 m'
_space_group_IT_number 216
_space_group_name_Hall 'F -4 2 3'
loop_
_atom_site_label
_atom_site_fract_x
_atom_site_fract_y
_atom_site_fract_z
Al1 0.0000 0.0000 0.0000
Co1 0.2500 0.2500 0.2500
Pd1 0.2500 0.2500 0.7500
W1 0.0000 0.0000 0.5000

[5]
# TbZnPd, relaxed, DFT PBE-GGA
# DFT total energy   -4.40 eV/atom
# M_tot   0.00 μB/f.u.
# Formation enthalpy at 0 K   -0.71 eV/atom
data_TbZnPd
_chemical_formula_sum 'Tb2 Zn2 Pd2'
_cell_length_a 4.4665
_cell_length_b 4.4665
_cell_length_c 7.0190
_cell_angle_alpha 90.00
_cell_angle_beta 90.00
_cell_angle_gamma 120.00
_space_group_name_H-M_alt 'P 63/m m c'
_space_group_IT_number 194
_space_group_name_Hall '-P 6c 2c'
loop_
_atom_site_label
_atom_site_fract_x
_atom_site_fract_y
_atom_site_fract_z
Tb1 0.0000 0.0000 0.0000
Zn1 0.3333 0.6667 0.2500
Pd1 0.3333 0.6667 0.7500

[6]
# Ho2LuFe2Co7, relaxed, DFT PBE-GGA
# DFT total energy   -6.87 eV/atom
# M_tot   12.72 μB/f.u.
# Formation enthalpy at 0 K   -0.20 eV/atom
data_Ho2LuFe2Co7
_chemical_formula_sum 'Ho6 Lu3 Fe6 Co21'
_cell_length_a 5.0129
_cell_length_b 5.0129
_cell_length_c 23.6859
_cell_angle_alpha 90.00
_cell_angle_beta 90.00
_cell_angle_gamma 120.00
_space_group_name_H-M_alt 'R -3 m'
_space_group_IT_number 166
_space_group_name_Hall '-R 3 2"'
loop_
_atom_site_label
_atom_site_fract_x
_atom_site_fract_y
_atom_site_fract_z
Ho1 0.0000 0.0000 0.1403
Lu1 0.0000 0.0000 0.0000
Fe1 0.0000 0.0000 0.3340
Co1 0.0000 0.0000 0.5000
Co2 0.0022 0.5011 0.9183

What is the formula in the sixth record? Ho2LuFe2Co7